A relaxed ScCo2CuC crystal. Source: Alexandria, functional PBE-GGA.

- N(E_F) (states/eV/f.u.) = 7.75
- calculated total energy (eV/atom) = -4.98
- DFT formation energy (eV/atom) = 1.794

Lattice parameters (Å, degrees): 4.2213 4.2213 4.7613 90.00 90.00 90.00
Element x y z (fractional)
Sc (0.0000, 0.0000, 0.0000)
Co (0.0000, 0.5000, 0.5000)
Co (0.5000, 0.0000, 0.5000)
Cu (0.0000, 0.0000, 0.5000)
C (0.5000, 0.5000, 0.0000)